[1]
Density functional theory data (PBE) for a relaxed structure of TbLu2Cu4Si4.

Structure (extended XYZ):
```
11
Lattice="-2.0351 3.2672 6.7632 2.0351 -3.2672 6.7632 2.0351 3.2672 -6.7632" Properties=species:S:1:pos:R:3 pbc="T T T"
Si 0.0000 1.1985 6.7632
Lu 0.0000 3.2673 1.7384
Cu 2.0351 1.2573 -2.2986
Lu 2.0351 0.0000 5.0248
Tb 0.0000 0.0000 0.0000
Cu 0.0000 2.0100 9.0618
Cu 0.0000 2.0100 4.4646
Si 0.0000 0.0000 10.5823
Cu 2.0351 1.2573 2.2986
Si 0.0000 0.0000 2.9442
Si 2.0351 2.0687 0.0000
```

Output
The symmetry is No. 71. The value obtained for the total DFT energy (no corrections) is -0.19126 Ha/atom.

=====

[2]
Density functional theory data (PBE) for a relaxed structure of LuCuSiTc.

Structure (extended XYZ):
```
4
Lattice="0.5841 -3.2719 -2.9422 -2.6604 -3.5525 0.0740 -2.9636 -0.6214 -3.2457" Properties=species:S:1:pos:R:3 pbc="T T T"
Tc -1.2600 -1.8615 -1.5285
Si 0.0000 0.0000 0.0000
Lu -2.5199 -3.7229 -3.0569
Cu -3.7799 -5.5844 -4.5854
```

Output
The symmetry is No. 216. The energy above the most stable polymorph in this dataset comes out at 0.0 meV per atom.

=====

[3]
Density functional theory data (PBE) for a relaxed structure of LuCuSiTc.

Structure (extended XYZ):
```
4
Lattice="0.0000 3.1982 3.1982 3.1982 0.0000 3.1982 3.1982 3.1982 0.0000" Properties=species:S:1:pos:R:3 pbc="T T T"
Cu 4.7973 4.7973 4.7973
Si 0.0000 0.0000 0.0000
Lu 1.5991 1.5991 1.5991
Tc 3.1982 3.1982 3.1982
```

Output
The symmetry is No. 216. The energy above the most stable polymorph in this dataset comes out at 400.2 meV per atom.

=====

Values for spin magnetization, μB per formula unit, ordered as above
0.00; 0.01; 0.00